(1)
Computed, not measured: a relaxed Cu8Te crystal at the PBE level of DFT.

Summary:
DFT total energy ... -35.19 eV per cell
D(E_F) ... 2.85 states/eV per cell
Density ... 8.75 Mg/m³
Energy relative to the elements, uncorrected ... 80.3 meV per atom

abc: 5.969 5.969 5.969
angles: 95.69 95.69 143.30
Sites, in units of the cell vectors:
Cu 0.000 0.657 0.657
Cu 0.000 0.343 0.343
Cu 0.657 0.000 0.657
Cu 0.323 0.677 0.000
Cu 0.323 0.323 0.647
Cu 0.677 0.323 0.000
Cu 0.677 0.677 0.353
Cu 0.343 0.000 0.343
Te 0.000 0.000 0.000

=====

(2)
Computed, not measured: a relaxed Cu3Te crystal at the PBE level of DFT.

Summary:
DFT total energy ... -28.91 eV per cell
D(E_F) ... 3.39 states/eV per cell
Density ... 8.35 Mg/m³
Energy relative to the elements, uncorrected ... 243.5 meV per atom

abc: 5.020 5.020 5.020
angles: 90.00 90.00 90.00
Sites, in units of the cell vectors:
Cu 0.500 0.000 0.750
Cu 0.000 0.750 0.500
Cu 0.750 0.500 0.000
Cu 0.000 0.250 0.500
Cu 0.500 0.000 0.250
Cu 0.250 0.500 0.000
Te 0.000 0.000 0.000
Te 0.500 0.500 0.500

=====

(3)
Computed, not measured: a relaxed CuTe5 crystal at the PBE level of DFT.

Summary:
ΔE to the lowest computed polymorph ... 564 meV per atom
DFT total energy ... -15.92 eV per cell
D(E_F) ... 5.37 states/eV per cell
Density ... 5.85 Mg/m³
Energy relative to the elements, uncorrected ... 646.8 meV per atom

abc: 5.822 5.822 6.789
angles: 90.00 90.00 120.00
Sites, in units of the cell vectors:
Te 0.000 0.500 0.500
Te 0.667 0.333 0.000
Te 0.333 0.667 0.000
Te 0.500 0.500 0.500
Te 0.500 0.000 0.500
Cu 0.000 0.000 0.000

=====

(4)
Computed, not measured: a relaxed Cu2Te3 crystal at the PBE level of DFT.

Summary:
DFT total energy ... -17.42 eV per cell
D(E_F) ... 2.81 states/eV per cell
Density ... 7.25 Mg/m³
Energy relative to the elements, uncorrected ... 40.3 meV per atom

abc: 3.883 3.883 8.938
angles: 90.00 90.00 120.00
Sites, in units of the cell vectors:
Cu 0.333 0.667 0.815
Cu 0.667 0.333 0.185
Te 0.667 0.333 0.663
Te 0.333 0.667 0.337
Te 0.000 0.000 0.000

=====

(5)
Computed, not measured: a relaxed Cu3Te crystal at the PBE level of DFT.

Summary:
DFT total energy ... -14.56 eV per cell
D(E_F) ... 1.93 states/eV per cell
Density ... 8.37 Mg/m³
Energy relative to the elements, uncorrected ... 216.8 meV per atom

abc: 3.459 3.459 5.277
angles: 90.00 90.00 89.99
Sites, in units of the cell vectors:
Cu 0.500 0.500 0.750
Cu 0.000 0.000 0.518
Cu 0.000 0.000 0.982
Te 0.500 0.500 0.250

=====

(6)
Computed, not measured: a relaxed Cu3Te crystal at the PBE level of DFT.

Summary:
DFT total energy ... -14.63 eV per cell
D(E_F) ... 2.13 states/eV per cell
Density ... 7.99 Mg/m³
Energy relative to the elements, uncorrected ... 200.2 meV per atom

abc: 5.011 5.011 5.011
angles: 49.16 49.16 49.16
Sites, in units of the cell vectors:
Cu 0.214 0.214 0.214
Cu 0.500 0.500 0.500
Cu 0.786 0.786 0.786
Te 0.000 0.000 0.000

=====

(7)
Computed, not measured: a relaxed Cu4Te3 crystal at the PBE level of DFT.

Summary:
ΔE to the lowest computed polymorph ... 0 meV per atom
DFT total energy ... -25.26 eV per cell
D(E_F) ... 2.38 states/eV per cell
Density ... 7.21 Mg/m³
Energy relative to the elements, uncorrected ... 78.8 meV per atom

abc: 11.388 11.388 11.388
angles: 161.63 161.63 26.09
Sites, in units of the cell vectors:
Te 0.000 0.000 0.000
Te 0.670 0.670 0.000
Te 0.330 0.330 0.000
Cu 0.556 0.556 0.000
Cu 0.123 0.123 0.000
Cu 0.444 0.444 0.000
Cu 0.877 0.877 0.000

=====

(8)
Computed, not measured: a relaxed Cu3Te crystal at the PBE level of DFT.

Summary:
DFT total energy ... -12.13 eV per cell
D(E_F) ... 1.72 states/eV per cell
Density ... 4.10 Mg/m³
Energy relative to the elements, uncorrected ... 824.1 meV per atom

abc: 5.053 5.053 5.053
angles: 90.00 90.00 90.00
Sites, in units of the cell vectors:
Cu 0.000 0.000 0.500
Cu 0.000 0.500 0.000
Cu 0.500 0.000 0.000
Te 0.000 0.000 0.000